# 1
Computed, not measured: an optimized crystal structure of Be2Te2Pb at the GGA-PBE level of DFT.

Values from the calculation:
The space group is P4/mbm (127). The calculation puts the energy relative to the elements, uncorrected at 0.363 eV per atom.

Unit cell a=7.6022 b=7.6022 c=3.7070 alpha=90.00 beta=90.00 gamma=90.00
Positions (direct):
Pb 0.0000 0.0000 0.0000
Te 0.8345 0.3345 0.5000
Be 0.1039 0.3961 0.0000
Be 0.8961 0.6039 0.0000
Te 0.3345 0.1655 0.5000
Pb 0.5000 0.5000 0.0000
Te 0.6655 0.8345 0.5000
Te 0.1655 0.6655 0.5000
Be 0.3961 0.8961 0.0000
Be 0.6039 0.1039 0.0000



# 2
Computed, not measured: an optimized crystal structure of YBeAsSe2 at the GGA-PBE level of DFT.

Values from the calculation:
The space group is P4/mmm (123). The calculation puts the energy relative to the elements, uncorrected at -0.443 eV per atom.

Unit cell a=4.8563 b=4.8563 c=4.3310 alpha=90.00 beta=90.00 gamma=90.00
Positions (direct):
Se 0.5000 0.0000 0.0000
Y 0.5000 0.5000 0.5000
As 0.0000 0.0000 0.5000
Se 0.0000 0.5000 0.0000
Be 0.0000 0.0000 0.0000



# 3
Computed, not measured: an optimized crystal structure of TaInAgN2 at the GGA-PBE level of DFT.

Values from the calculation:
The space group is P4/mmm (123). The calculation puts the energy relative to the elements, uncorrected at 2.142 eV per atom.

Unit cell a=4.1196 b=4.1196 c=5.3135 alpha=90.00 beta=90.00 gamma=90.00
Last column: magnetic moment on the atom in μB.
Positions (direct):
Ta 0.0000 0.0000 0.5000  -0.44
Ag 0.0000 0.0000 0.0000  0.01
N 0.5000 0.0000 0.0000  0.64
In 0.5000 0.5000 0.5000  -0.01
N 0.0000 0.5000 0.0000  0.64



# 4
Computed, not measured: an optimized crystal structure of ZrInCS2 at the GGA-PBE level of DFT.

Values from the calculation:
The space group is P4/mmm (123). The calculation puts the energy relative to the elements, uncorrected at 1.997 eV per atom.

Unit cell a=4.7492 b=5.8288 c=4.7492 alpha=90.00 beta=90.00 gamma=90.00
Last column: magnetic moment on the atom in μB.
Positions (direct):
S 0.0000 0.0000 0.5000  0.10
C 0.5000 0.5000 0.5000  0.54
Zr 0.0000 0.5000 0.0000  -0.20
S 0.5000 0.0000 0.0000  0.07
In 0.0000 0.0000 0.0000  0.01



# 5
Computed, not measured: an optimized crystal structure of ReSi2AgAu at the GGA-PBE level of DFT.

Values from the calculation:
The space group is P4/mmm (123). The calculation puts the energy relative to the elements, uncorrected at 1.767 eV per atom.

Unit cell a=4.6389 b=4.6389 c=5.0549 alpha=90.00 beta=90.00 gamma=90.00
Last column: magnetic moment on the atom in μB.
Positions (direct):
Si 0.5000 0.0000 0.0000  -0.04
Ag 0.0000 0.0000 0.0000  0.00
Re 0.5000 0.5000 0.5000  3.08
Au 0.0000 0.0000 0.5000  0.03
Si 0.0000 0.5000 0.0000  -0.04



# 6
Computed, not measured: an optimized crystal structure of Pa3Zn2Ga4 at the GGA-PBE level of DFT.

Values from the calculation:
For the formation energy, the calculation gives -230 kJ/mol of formula units. The space group is C2/m (12).

Unit cell a=4.5607 b=5.6353 c=8.5425 alpha=114.59 beta=90.00 gamma=113.87
Last column: magnetic moment on the atom in μB.
Positions (direct):
Pa 0.0000 0.0000 0.0000  0.17
Pa 0.6643 0.3287 0.6676  0.18
Ga 0.2832 0.5664 0.9465  0.00
Ga 0.9375 0.8751 0.6071  0.00
Ga 0.0625 0.1249 0.3929  0.00
Pa 0.3357 0.6713 0.3324  0.18
Zn 0.6146 0.2293 0.2808  0.00
Zn 0.3854 0.7707 0.7192  0.00
Ga 0.7168 0.4336 0.0535  0.00



# 7
Computed, not measured: an optimized crystal structure of NaReAg2Te at the GGA-PBE level of DFT.

Values from the calculation:
The space group is P4/mmm (123). The calculation puts the energy relative to the elements, uncorrected at 1.368 eV per atom.

Unit cell a=5.3330 b=5.6551 c=5.3330 alpha=90.00 beta=90.00 gamma=90.00
Last column: magnetic moment on the atom in μB.
Positions (direct):
Na 0.0000 0.5000 0.0000  0.00
Ag 0.0000 0.0000 0.5000  -0.04
Re 0.5000 0.5000 0.5000  3.66
Te 0.0000 0.0000 0.0000  -0.01
Ag 0.5000 0.0000 0.0000  0.00



# 8
Computed, not measured: an optimized crystal structure of La2NdErS4 at the GGA-PBE level of DFT.

Values from the calculation:
The space group is P2/m (10). The calculation puts the energy relative to the elements, uncorrected at -2.077 eV per atom.

Unit cell a=4.0223 b=7.0422 c=7.0827 alpha=109.02 beta=90.00 gamma=90.00
Positions (direct):
S 0.5000 0.2343 0.2312
S 0.0000 0.7554 0.2379
La 0.0000 0.5000 0.5000
Nd 0.5000 0.5000 0.0000
La 0.5000 0.0000 0.5000
S 0.0000 0.2446 0.7621
S 0.5000 0.7657 0.7688
Er 0.0000 0.0000 0.0000